1.
The following is a PBE calculation of a relaxed Mn3Au crystal, from the Alexandria database.

Computed properties:
crystal system = tetragonal
DOS at the Fermi energy = 0.862 states/eV/atom
energy of formation from the pure elements = 161 meV per atom

abc: 3.8183 3.8183 15.8626
angles: 90.00 90.00 90.00
Space group I4/mmm (No. 139)
Asymmetric unit:
Mn 0.0000 0.0000 0.1128 (multiplicity 4)
Mn 0.0000 0.5000 0.0000 (multiplicity 4)
Mn 0.0000 0.5000 0.2500 (multiplicity 4)
Au 0.0000 0.0000 0.3778 (multiplicity 4)

2.
The following is a PBE calculation of a relaxed Mn3Au2 crystal, from the Alexandria database.

Computed properties:
crystal system = monoclinic
DOS at the Fermi energy = 0.578 states/eV/atom
energy of formation from the pure elements = 121 meV per atom

abc: 8.9810 3.9246 6.3202
angles: 90.00 134.27 90.00
Space group C2/m (No. 12)
Asymmetric unit:
Mn 0.0000 0.0000 0.0000 (multiplicity 2)
Mn 0.2018 0.0000 0.6044 (multiplicity 4)
Au 0.0900 0.5000 0.7971 (multiplicity 4)

3.
The following is a PBE calculation of a relaxed MnAu3 crystal, from the Alexandria database.

Computed properties:
crystal system = orthorhombic
DOS at the Fermi energy = 0.497 states/eV/atom
energy of formation from the pure elements = 23 meV per atom

abc: 5.8089 7.7846 3.0963
angles: 90.00 90.00 90.00
Space group Cmmm (No. 65)
Asymmetric unit:
Mn 0.0000 0.0000 0.0000 (multiplicity 2)
Au 0.0000 0.5000 0.0000 (multiplicity 2)
Au 0.2500 0.2500 0.5000 (multiplicity 4)

4.
The following is a PBE calculation of a relaxed MnAu5 crystal, from the Alexandria database.

Computed properties:
crystal system = hexagonal
DOS at the Fermi energy = 0.283 states/eV/atom
energy of formation from the pure elements = -32 meV per atom

abc: 5.0312 5.0312 4.8255
angles: 90.00 90.00 120.00
Space group P-62m (No. 189)
Asymmetric unit:
Mn 0.0000 0.0000 0.0000 (multiplicity 1)
Au 0.0000 0.6736 0.5000 (multiplicity 3)
Au 0.3333 0.6667 0.0000 (multiplicity 2)

5.
The following is a PBE calculation of a relaxed Mn3Au2 crystal, from the Alexandria database.

Computed properties:
crystal system = trigonal
DOS at the Fermi energy = 0.674 states/eV/atom
energy of formation from the pure elements = 228 meV per atom

abc: 2.9105 2.9105 33.0286
angles: 90.00 90.00 120.00
Space group R-3m (No. 166, hexagonal axes)
Asymmetric unit:
Mn 0.0000 0.0000 0.0000 (multiplicity 3)
Mn 0.0000 0.0000 0.1983 (multiplicity 6)
Au 0.0000 0.0000 0.4003 (multiplicity 6)

6.
The following is a PBE calculation of a relaxed MnAu8 crystal, from the Alexandria database.

Computed properties:
crystal system = tetragonal
DOS at the Fermi energy = 0.420 states/eV/atom
energy of formation from the pure elements = -19 meV per atom

abc: 8.8525 8.8525 4.0831
angles: 90.00 90.00 90.00
Space group I4/mmm (No. 139)
Asymmetric unit:
Mn 0.0000 0.0000 0.0000 (multiplicity 2)
Au 0.0000 0.3300 0.0000 (multiplicity 8)
Au 0.1623 0.1623 0.5000 (multiplicity 8)

7.
The following is a PBE calculation of a relaxed Mn3Au crystal, from the Alexandria database.

Computed properties:
crystal system = orthorhombic
DOS at the Fermi energy = 1.229 states/eV/atom
energy of formation from the pure elements = 313 meV per atom

abc: 4.8505 9.0872 5.6074
angles: 90.00 90.00 90.00
Space group Pnma (No. 62)
Asymmetric unit:
Mn 0.0892 0.2500 0.1197 (multiplicity 4)
Mn 0.2467 0.9998 0.3729 (multiplicity 8)
Au 0.0928 0.2500 0.6126 (multiplicity 4)

8.
The following is a PBE calculation of a relaxed Mn3Au crystal, from the Alexandria database.

Computed properties:
crystal system = tetragonal
DOS at the Fermi energy = 0.892 states/eV/atom
energy of formation from the pure elements = 81 meV per atom

abc: 3.8365 3.8365 7.7897
angles: 90.00 90.00 90.00
Space group I4/mmm (No. 139)
Asymmetric unit:
Mn 0.0000 0.0000 0.0000 (multiplicity 2)
Mn 0.0000 0.5000 0.2500 (multiplicity 4)
Au 0.0000 0.0000 0.5000 (multiplicity 2)

9.
The following is a PBE calculation of a relaxed MnAu5 crystal, from the Alexandria database.

Computed properties:
crystal system = hexagonal
DOS at the Fermi energy = 0.351 states/eV/atom
energy of formation from the pure elements = 199 meV per atom

abc: 5.4181 5.4181 4.7950
angles: 90.00 90.00 120.00
Space group P6/mmm (No. 191)
Asymmetric unit:
Mn 0.0000 0.0000 0.0000 (multiplicity 1)
Au 0.0000 0.5000 0.5000 (multiplicity 3)
Au 0.3333 0.6667 0.0000 (multiplicity 2)

10.
The following is a PBE calculation of a relaxed MnAu crystal, from the Alexandria database.

Computed properties:
crystal system = cubic
DOS at the Fermi energy = 0.579 states/eV/atom
energy of formation from the pure elements = 796 meV per atom

abc: 7.3019 7.3019 7.3019
angles: 90.00 90.00 90.00
Space group Pm-3n (No. 223)
Asymmetric unit:
Mn 0.0000 0.2500 0.5000 (multiplicity 6)
Au 0.0000 0.5000 0.2500 (multiplicity 6)

11.
The following is a PBE calculation of a relaxed Mn3Au crystal, from the Alexandria database.

Computed properties:
crystal system = trigonal
DOS at the Fermi energy = 0.702 states/eV/atom
energy of formation from the pure elements = 254 meV per atom

abc: 2.8877 2.8877 24.9328
angles: 90.00 90.00 120.00
Space group R-3m (No. 166, hexagonal axes)
Asymmetric unit:
Mn 0.0000 0.0000 0.0000 (multiplicity 3)
Mn 0.0000 0.0000 0.2567 (multiplicity 6)
Au 0.0000 0.0000 0.5000 (multiplicity 3)

12.
The following is a PBE calculation of a relaxed MnAu crystal, from the Alexandria database.

Computed properties:
crystal system = tetragonal
DOS at the Fermi energy = 0.649 states/eV/atom
energy of formation from the pure elements = -2 meV per atom

abc: 3.2331 3.2331 3.1799
angles: 90.00 90.00 90.00
Space group P4/mmm (No. 123)
Asymmetric unit:
Mn 0.0000 0.0000 0.0000 (multiplicity 1)
Au 0.5000 0.5000 0.5000 (multiplicity 1)

13.
The following is a PBE calculation of a relaxed Mn3Au crystal, from the Alexandria database.

Computed properties:
crystal system = cubic
DOS at the Fermi energy = 0.934 states/eV/atom
energy of formation from the pure elements = 141 meV per atom

abc: 6.2453 6.2453 6.2453
angles: 90.00 90.00 90.00
Space group Fm-3m (No. 225)
Asymmetric unit:
Mn 0.0000 0.0000 0.0000 (multiplicity 4)
Mn 0.2500 0.2500 0.2500 (multiplicity 8)
Au 0.0000 0.0000 0.5000 (multiplicity 4)

14.
The following is a PBE calculation of a relaxed MnAu3 crystal, from the Alexandria database.

Computed properties:
crystal system = cubic
DOS at the Fermi energy = 0.607 states/eV/atom
energy of formation from the pure elements = 896 meV per atom

abc: 5.0239 5.0239 5.0239
angles: 90.00 90.00 90.00
Space group Pm-3m (No. 221)
Asymmetric unit:
Mn 0.0000 0.0000 0.0000 (multiplicity 1)
Au 0.0000 0.0000 0.5000 (multiplicity 3)

15.
The following is a PBE calculation of a relaxed Mn5Au crystal, from the Alexandria database.

Computed properties:
crystal system = orthorhombic
DOS at the Fermi energy = 1.101 states/eV/atom
energy of formation from the pure elements = 199 meV per atom

abc: 4.1335 2.6916 13.9705
angles: 90.00 90.00 90.00
Space group Amm2 (No. 38)
Asymmetric unit:
Mn 0.0000 0.0000 0.0000 (multiplicity 2)
Mn 0.0000 0.0000 0.2951 (multiplicity 2)
Mn 0.0000 0.0000 0.6472 (multiplicity 2)
Mn 0.5000 0.0000 0.1911 (multiplicity 2)
Mn 0.5000 0.0000 0.5504 (multiplicity 2)
Au 0.5000 0.0000 0.8743 (multiplicity 2)

16.
The following is a PBE calculation of a relaxed MnAu3 crystal, from the Alexandria database.

Computed properties:
crystal system = hexagonal
DOS at the Fermi energy = 0.545 states/eV/atom
energy of formation from the pure elements = 60 meV per atom

abc: 3.0034 3.0034 9.0451
angles: 90.00 90.00 120.00
Space group P-6m2 (No. 187)
Asymmetric unit:
Mn 0.0000 0.0000 0.0000 (multiplicity 1)
Au 0.0000 0.0000 0.5000 (multiplicity 1)
Au 0.6667 0.3333 0.2332 (multiplicity 2)

17.
The following is a PBE calculation of a relaxed MnAu3 crystal, from the Alexandria database.

Computed properties:
crystal system = orthorhombic
DOS at the Fermi energy = 0.235 states/eV/atom
energy of formation from the pure elements = -54 meV per atom

abc: 3.1373 3.5484 6.2312
angles: 90.00 90.00 90.00
Space group Pmmm (No. 47)
Asymmetric unit:
Mn 0.0000 0.0000 0.0000 (multiplicity 1)
Au 0.0000 0.0000 0.5000 (multiplicity 1)
Au 0.5000 0.5000 0.2348 (multiplicity 2)

18.
The following is a PBE calculation of a relaxed MnAu3 crystal, from the Alexandria database.

Computed properties:
crystal system = monoclinic
DOS at the Fermi energy = 0.393 states/eV/atom
energy of formation from the pure elements = -16 meV per atom

abc: 9.5022 3.0944 4.8927
angles: 90.00 103.80 90.00
Space group C2/m (No. 12)
Asymmetric unit:
Mn 0.0000 0.0000 0.0000 (multiplicity 2)
Au 0.0000 0.5000 0.5000 (multiplicity 2)
Au 0.2392 0.5000 0.2398 (multiplicity 4)

19.
The following is a PBE calculation of a relaxed MnAu crystal, from the Alexandria database.

Computed properties:
crystal system = hexagonal
DOS at the Fermi energy = 0.710 states/eV/atom
energy of formation from the pure elements = 285 meV per atom

abc: 4.4772 4.4772 8.0282
angles: 90.00 90.00 120.00
Space group P6_3/mmc (No. 194)
Asymmetric unit:
Mn 0.0000 0.0000 0.2500 (multiplicity 2)
Mn 0.3333 0.6667 0.2500 (multiplicity 2)
Au 0.3333 0.6667 0.5799 (multiplicity 4)

20.
The following is a PBE calculation of a relaxed MnAu5 crystal, from the Alexandria database.

Computed properties:
crystal system = orthorhombic
DOS at the Fermi energy = 0.367 states/eV/atom
energy of formation from the pure elements = -39 meV per atom

abc: 3.9719 8.7972 6.0569
angles: 90.00 90.00 90.00
Space group Pmmn (No. 59, origin choice 2)
Asymmetric unit:
Mn 0.2500 0.2500 0.1217 (multiplicity 2)
Au 0.2500 0.2500 0.6267 (multiplicity 2)
Au 0.2500 0.5847 0.1182 (multiplicity 4)
Au 0.2500 0.5882 0.6312 (multiplicity 4)